Compound: BaTlMoF6
Source: Alexandria via LeMat-Bulk
Functional: GGA+U
Structure: optimized geometry

Properties
Raw total energy = -0.3927 Ry per atom
Spin magnetization = 3.000 μB per formula unit

a b c (Å): 6.646 6.646 9.553
angles (deg): 90.00 90.00 120.00
Positions (direct):
Ba 0.333 0.667 0.250
Ba 0.667 0.333 0.750
Tl 0.000 0.000 0.000
Tl 0.000 0.000 0.500
Mo 0.667 0.333 0.250
Mo 0.333 0.667 0.750
F 0.659 0.600 0.134
F 0.941 0.341 0.134
F 0.341 0.941 0.634
F 0.059 0.659 0.866
F 0.400 0.341 0.366
F 0.941 0.600 0.366
F 0.600 0.941 0.866
F 0.659 0.059 0.366
F 0.059 0.400 0.634
F 0.400 0.059 0.134
F 0.600 0.659 0.634
F 0.341 0.400 0.866